#1
Compound: CsAgSn3
Source: the Alexandria database
Functional: PBE
Structure: optimized geometry Values from VASP.

```
&SYSTEM
  ibrav = 0, nat = 5, ntyp = 3
/
ATOMIC_SPECIES
Sn 118.71 Sn.upf
Cs 132.91 Cs.upf
Ag 107.87 Ag.upf
CELL_PARAMETERS angstrom
4.749 -0.003 1.642
-0.569 4.715 1.646
0.189 0.207 7.157
ATOMIC_POSITIONS crystal
Sn 0.645 0.948 0.416
Sn 0.145 0.448 0.416
Sn 0.790 0.594 0.125
Cs 0.401 0.205 0.902
Ag 0.026 0.830 0.652
```

**DOS(E_F)**: 1.9 states/eV per cell
**SG**: Fmm2

#2
Compound: CsAgSn3
Source: the Alexandria database
Functional: PBE
Structure: optimized geometry Values from VASP.

```
&SYSTEM
  ibrav = 0, nat = 5, ntyp = 3
/
ATOMIC_SPECIES
Sn 118.71 Sn.upf
Cs 132.91 Cs.upf
Ag 107.87 Ag.upf
CELL_PARAMETERS angstrom
6.204 0.000 0.000
0.000 6.204 0.000
0.000 0.000 6.204
ATOMIC_POSITIONS crystal
Sn 0.000 0.000 0.500
Sn 0.000 0.500 0.000
Sn 0.500 0.000 0.000
Cs 0.000 0.000 0.000
Ag 0.500 0.500 0.500
```

**DOS(E_F)**: 3.8 states/eV per cell
**SG**: Pm-3m

Here is how they stack up, most stable first: #1, #2.

#1
Compound: CsTa2Ag
Source: the Alexandria database
Functional: PBE
Structure: optimized geometry Values from VASP.

```
&SYSTEM
  ibrav = 0, nat = 4, ntyp = 3
/
ATOMIC_SPECIES
Cs 132.91 Cs.upf
Ta 180.95 Ta.upf
Ag 107.87 Ag.upf
CELL_PARAMETERS angstrom
0.000 3.447 3.447
3.447 0.000 3.447
3.447 3.447 0.000
ATOMIC_POSITIONS crystal
Cs 0.500 0.500 0.500
Ta 0.750 0.750 0.750
Ta 0.250 0.250 0.250
Ag 0.000 0.000 0.000
```

**DOS(E_F)**: 2.2 states/eV per cell
**SG**: Fm-3m

#2
Compound: CsTa2Ag
Source: the Alexandria database
Functional: PBE
Structure: optimized geometry Values from VASP.

```
&SYSTEM
  ibrav = 0, nat = 8, ntyp = 3
/
ATOMIC_SPECIES
Cs 132.91 Cs.upf
Ta 180.95 Ta.upf
Ag 107.87 Ag.upf
CELL_PARAMETERS angstrom
-3.010 0.651 2.810
-2.696 -2.078 -2.407
-0.065 -10.393 5.432
ATOMIC_POSITIONS crystal
Cs 0.750 0.250 0.500
Cs 0.000 0.000 0.000
Ta 0.875 0.840 0.750
Ta 0.590 0.125 0.250
Ta 0.375 0.410 0.750
Ta 0.160 0.625 0.250
Ag 0.500 0.500 0.000
Ag 0.250 0.750 0.500
```

**DOS(E_F)**: 5.2 states/eV per cell
**SG**: I-42d

Here is how they stack up, most stable first: #2, #1.

#1
Compound: CsTc3Ag
Source: the Alexandria database
Functional: PBE
Structure: optimized geometry Values from VASP.

```
&SYSTEM
  ibrav = 0, nat = 5, ntyp = 3
/
ATOMIC_SPECIES
Cs 132.91 Cs.upf
Tc 98.00 Tc.upf
Ag 107.87 Ag.upf
CELL_PARAMETERS angstrom
-3.697 -2.547 2.635
3.138 -4.134 0.406
1.893 1.877 4.471
ATOMIC_POSITIONS crystal
Cs 0.500 0.500 0.500
Tc 0.000 0.000 0.500
Tc 0.000 0.500 0.000
Tc 0.500 0.000 0.000
Ag 0.000 0.000 0.000
```

**DOS(E_F)**: 8.1 states/eV per cell
**SG**: Pm-3m

#2
Compound: CsTc3Ag
Source: the Alexandria database
Functional: PBE
Structure: optimized geometry Values from VASP.

```
&SYSTEM
  ibrav = 0, nat = 5, ntyp = 3
/
ATOMIC_SPECIES
Tc 98.00 Tc.upf
Cs 132.91 Cs.upf
Ag 107.87 Ag.upf
CELL_PARAMETERS angstrom
4.911 0.000 0.000
0.000 4.911 0.000
0.000 0.000 4.911
ATOMIC_POSITIONS crystal
Tc 0.500 0.000 0.000
Tc 0.000 0.500 0.000
Tc 0.000 0.000 0.500
Cs 0.000 0.000 0.000
Ag 0.500 0.500 0.500
```

**DOS(E_F)**: 4.3 states/eV per cell
**SG**: Pm-3m

Here is how they stack up, most stable first: #1, #2.

#1
Compound: Cs2AgTe2
Source: the Alexandria database
Functional: PBE
Structure: optimized geometry Values from VASP.

```
&SYSTEM
  ibrav = 0, nat = 10, ntyp = 3
/
ATOMIC_SPECIES
Ag 107.87 Ag.upf
Te 127.60 Te.upf
Cs 132.91 Cs.upf
CELL_PARAMETERS angstrom
-2.467 4.241 -0.869
-7.326 -1.200 0.657
2.469 6.786 11.830
ATOMIC_POSITIONS crystal
Ag 0.318 0.916 0.447
Ag 0.682 0.084 0.553
Te 0.941 0.736 0.383
Te 0.623 0.842 0.912
Te 0.377 0.158 0.088
Te 0.059 0.264 0.617
Cs 0.681 0.304 0.333
Cs 0.319 0.696 0.667
Cs 0.926 0.253 0.894
Cs 0.074 0.747 0.106
```

**SG**: C2/m

#2
Compound: Cs2AgTe2
Source: the Alexandria database
Functional: PBE
Structure: optimized geometry Values from VASP.

```
&SYSTEM
  ibrav = 0, nat = 10, ntyp = 3
/
ATOMIC_SPECIES
Cs 132.91 Cs.upf
Ag 107.87 Ag.upf
Te 127.60 Te.upf
CELL_PARAMETERS angstrom
-4.459 0.289 -6.791
-4.708 -5.989 2.836
-3.634 4.068 2.559
ATOMIC_POSITIONS crystal
Cs 0.342 0.158 0.500
Cs 0.658 0.842 0.500
Cs 0.842 0.342 0.500
Cs 0.158 0.658 0.500
Ag 0.000 0.000 0.000
Ag 0.500 0.500 0.000
Te 0.659 0.159 0.000
Te 0.159 0.341 0.000
Te 0.841 0.659 0.000
Te 0.341 0.841 0.000
```

**DOS(E_F)**: 3.9 states/eV per cell
**SG**: P4/mbm

Here is how they stack up, most stable first: #1, #2.

#1
Compound: Cs3AgTe4
Source: the Alexandria database
Functional: PBE
Structure: optimized geometry Values from VASP.

```
&SYSTEM
  ibrav = 0, nat = 16, ntyp = 3
/
ATOMIC_SPECIES
Cs 132.91 Cs.upf
Ag 107.87 Ag.upf
Te 127.60 Te.upf
CELL_PARAMETERS angstrom
9.785 0.000 0.000
0.000 6.563 0.000
0.000 0.000 12.247
ATOMIC_POSITIONS crystal
Cs 0.447 0.500 0.500
Cs 0.187 0.000 0.788
Cs 0.187 0.000 0.212
Cs 0.813 0.500 0.712
Cs 0.553 0.000 0.000
Cs 0.813 0.500 0.288
Ag 0.697 0.500 0.000
Ag 0.303 0.000 0.500
Te 0.563 0.000 0.384
Te 0.919 0.218 0.000
Te 0.081 0.282 0.500
Te 0.919 0.782 0.000
Te 0.563 0.000 0.616
Te 0.081 0.718 0.500
Te 0.437 0.500 0.116
Te 0.437 0.500 0.884
```

**DOS(E_F)**: 6.9 states/eV per cell
**SG**: Pmmn

#2
Compound: Cs3AgTe4
Source: the Alexandria database
Functional: PBE
Structure: optimized geometry Values from VASP.

```
&SYSTEM
  ibrav = 0, nat = 8, ntyp = 3
/
ATOMIC_SPECIES
Te 127.60 Te.upf
Cs 132.91 Cs.upf
Ag 107.87 Ag.upf
CELL_PARAMETERS angstrom
6.098 0.000 0.000
0.000 6.342 0.000
-3.049 -3.171 9.921
ATOMIC_POSITIONS crystal
Te 0.385 0.625 0.770
Te 0.615 0.375 0.230
Te 0.615 0.855 0.230
Te 0.385 0.145 0.770
Cs 0.199 0.199 0.397
Cs 0.801 0.801 0.603
Cs 0.000 0.500 0.000
Ag 0.500 0.000 0.000
```

**DOS(E_F)**: 2.1 states/eV per cell
**SG**: Immm

Here is how they stack up, most stable first: #2, #1.

#1
Compound: CsAg4Te2
Source: the Alexandria database
Functional: PBE
Structure: optimized geometry Values from VASP.

```
&SYSTEM
  ibrav = 0, nat = 7, ntyp = 3
/
ATOMIC_SPECIES
Ag 107.87 Ag.upf
Te 127.60 Te.upf
Cs 132.91 Cs.upf
CELL_PARAMETERS angstrom
4.729 0.000 0.000
0.000 4.559 -1.004
0.000 -0.328 9.361
ATOMIC_POSITIONS crystal
Ag 0.000 0.301 0.602
Ag 0.000 0.699 0.398
Ag 0.500 0.203 0.406
Ag 0.500 0.797 0.594
Te 0.500 0.387 0.773
Te 0.500 0.613 0.227
Cs 0.000 0.000 0.000
```

**DOS(E_F)**: 1.7 states/eV per cell
**SG**: Cmmm

#2
Compound: CsAg4Te2
Source: the Alexandria database
Functional: PBE
Structure: optimized geometry Values from VASP.

```
&SYSTEM
  ibrav = 0, nat = 7, ntyp = 3
/
ATOMIC_SPECIES
Ag 107.87 Ag.upf
Te 127.60 Te.upf
Cs 132.91 Cs.upf
CELL_PARAMETERS angstrom
-3.747 3.310 0.294
-4.677 -1.408 -1.107
-4.234 -1.789 8.838
ATOMIC_POSITIONS crystal
Ag 0.447 0.447 0.660
Ag 0.553 0.553 0.340
Ag 0.136 0.136 0.592
Ag 0.864 0.864 0.408
Te 0.762 0.762 0.714
Te 0.238 0.238 0.286
Cs 0.000 0.000 0.000
```

**DOS(E_F)**: 2.5 states/eV per cell
**SG**: R-3m

Here is how they stack up, most stable first: #1, #2.

#1
Compound: CsAg3Te3
Source: the Alexandria database
Functional: PBE
Structure: optimized geometry Values from VASP.

```
&SYSTEM
  ibrav = 0, nat = 14, ntyp = 3
/
ATOMIC_SPECIES
Cs 132.91 Cs.upf
Ag 107.87 Ag.upf
Te 127.60 Te.upf
CELL_PARAMETERS angstrom
-4.546 -4.765 -4.312
4.182 -6.204 2.447
-4.880 -0.877 6.114
ATOMIC_POSITIONS crystal
Cs 0.000 0.000 0.000
Cs 0.500 0.500 0.500
Ag 0.750 0.000 0.500
Ag 0.000 0.500 0.250
Ag 0.000 0.500 0.750
Ag 0.500 0.750 0.000
Ag 0.250 0.000 0.500
Ag 0.500 0.250 0.000
Te 0.500 0.000 0.750
Te 0.000 0.250 0.500
Te 0.750 0.500 0.000
Te 0.250 0.500 0.000
Te 0.500 0.000 0.250
Te 0.000 0.750 0.500
```

**DOS(E_F)**: 10.6 states/eV per cell
**SG**: Pm-3n

#2
Compound: CsAg3Te3
Source: the Alexandria database
Functional: PBE
Structure: optimized geometry Values from VASP.

```
&SYSTEM
  ibrav = 0, nat = 14, ntyp = 3
/
ATOMIC_SPECIES
Te 127.60 Te.upf
Ag 107.87 Ag.upf
Cs 132.91 Cs.upf
CELL_PARAMETERS angstrom
-7.267 1.289 2.220
-2.479 -2.647 6.800
-0.468 7.886 7.266
ATOMIC_POSITIONS crystal
Te 0.099 0.771 0.707
Te 0.576 0.901 0.293
Te 0.229 0.576 0.293
Te 0.771 0.424 0.707
Te 0.424 0.099 0.707
Te 0.901 0.229 0.293
Ag 0.522 0.202 0.412
Ag 0.136 0.478 0.588
Ag 0.478 0.798 0.588
Ag 0.202 0.864 0.412
Ag 0.864 0.522 0.412
Ag 0.798 0.136 0.588
Cs 0.333 0.333 0.001
Cs 0.667 0.667 0.999
```

**DOS(E_F)**: 9.5 states/eV per cell
**SG**: R-3

Here is how they stack up, most stable first: #1, #2.

#1
Compound: Cs3Ag2Te3
Source: the Alexandria database
Functional: PBE
Structure: optimized geometry Values from VASP.

```
&SYSTEM
  ibrav = 0, nat = 16, ntyp = 3
/
ATOMIC_SPECIES
Cs 132.91 Cs.upf
Te 127.60 Te.upf
Ag 107.87 Ag.upf
CELL_PARAMETERS angstrom
-2.659 -1.912 3.867
-1.124 -4.151 -6.145
13.521 -10.061 4.322
ATOMIC_POSITIONS crystal
Cs 0.076 0.152 0.890
Cs 0.076 0.152 0.610
Cs 0.924 0.848 0.390
Cs 0.615 0.230 0.250
Cs 0.924 0.848 0.110
Cs 0.385 0.770 0.750
Te 0.354 0.708 0.541
Te 0.354 0.708 0.959
Te 0.646 0.292 0.041
Te 0.646 0.292 0.459
Te 0.694 0.389 0.750
Te 0.306 0.611 0.250
Ag 0.776 0.551 0.907
Ag 0.224 0.449 0.093
Ag 0.224 0.449 0.407
Ag 0.776 0.551 0.593
```

**DOS(E_F)**: 10.0 states/eV per cell
**SG**: Cmcm

#2
Compound: Cs3Ag2Te3
Source: the Alexandria database
Functional: PBE
Structure: optimized geometry Values from VASP.

```
&SYSTEM
  ibrav = 0, nat = 16, ntyp = 3
/
ATOMIC_SPECIES
Ag 107.87 Ag.upf
Cs 132.91 Cs.upf
Te 127.60 Te.upf
CELL_PARAMETERS angstrom
4.666 0.000 0.000
-2.333 7.122 0.000
0.000 0.000 21.031
ATOMIC_POSITIONS crystal
Ag 0.164 0.329 0.363
Ag 0.164 0.329 0.137
Ag 0.836 0.671 0.863
Ag 0.836 0.671 0.637
Cs 0.878 0.756 0.072
Cs 0.878 0.756 0.428
Cs 0.464 0.929 0.750
Cs 0.122 0.244 0.928
Cs 0.536 0.071 0.250
Cs 0.122 0.244 0.572
Te 0.607 0.214 0.422
Te 0.393 0.786 0.922
Te 0.738 0.476 0.750
Te 0.262 0.524 0.250
Te 0.393 0.786 0.578
Te 0.607 0.214 0.078
```

**DOS(E_F)**: 6.9 states/eV per cell
**SG**: Cmcm

Here is how they stack up, most stable first: #2, #1.

#1
Compound: Cs2ZrAg2Te4
Source: the Alexandria database
Functional: PBE
Structure: optimized geometry Values from VASP.

```
&SYSTEM
  ibrav = 0, nat = 9, ntyp = 4
/
ATOMIC_SPECIES
Cs 132.91 Cs.upf
Ag 107.87 Ag.upf
Te 127.60 Te.upf
Zr 91.22 Zr.upf
CELL_PARAMETERS angstrom
8.427 0.014 0.000
-5.800 6.114 0.000
0.000 0.000 6.659
ATOMIC_POSITIONS crystal
Cs 0.500 0.000 0.258
Cs 0.000 0.500 0.742
Ag 0.000 0.000 0.500
Ag 0.500 0.500 0.000
Te 0.656 0.865 0.761
Te 0.865 0.656 0.239
Te 0.135 0.344 0.239
Te 0.344 0.135 0.761
Zr 0.000 0.000 0.000
```

**DOS(E_F)**: 0.0 states/eV per cell
**SG**: C222

#2
Compound: Cs2ZrAg2Te4
Source: the Alexandria database
Functional: PBE
Structure: optimized geometry Values from VASP.

```
&SYSTEM
  ibrav = 0, nat = 9, ntyp = 4
/
ATOMIC_SPECIES
Ag 107.87 Ag.upf
Te 127.60 Te.upf
Cs 132.91 Cs.upf
Zr 91.22 Zr.upf
CELL_PARAMETERS angstrom
-1.131 3.965 1.600
-8.274 -3.064 1.746
5.329 -3.301 5.834
ATOMIC_POSITIONS crystal
Ag 0.314 0.020 0.629
Ag 0.686 0.980 0.371
Te 0.815 0.820 0.630
Te 0.513 0.783 0.025
Te 0.487 0.217 0.975
Te 0.185 0.180 0.370
Cs 0.865 0.426 0.730
Cs 0.135 0.574 0.270
Zr 0.000 0.000 0.000
```

**DOS(E_F)**: 1.1 states/eV per cell
**SG**: C2/m

Here is how they stack up, most stable first: #1, #2.

#1
Compound: CsTi2Ag2
Source: the Alexandria database
Functional: PBE
Structure: optimized geometry Values from VASP.

```
&SYSTEM
  ibrav = 0, nat = 10, ntyp = 3
/
ATOMIC_SPECIES
Cs 132.91 Cs.upf
Ag 107.87 Ag.upf
Ti 47.87 Ti.upf
CELL_PARAMETERS angstrom
-8.579 -2.254 -0.950
2.425 -7.380 -4.386
0.112 -1.550 2.671
ATOMIC_POSITIONS crystal
Cs 0.000 0.000 0.000
Cs 0.500 0.500 0.000
Ag 0.821 0.679 0.000
Ag 0.679 0.179 0.000
Ag 0.321 0.821 0.000
Ag 0.179 0.321 0.000
Ti 0.402 0.098 0.500
Ti 0.098 0.598 0.500
Ti 0.598 0.902 0.500
Ti 0.902 0.402 0.500
```

**DOS(E_F)**: 10.7 states/eV per cell
**SG**: P4/mbm

#2
Compound: CsTi2Ag2
Source: the Alexandria database
Functional: PBE
Structure: optimized geometry Values from VASP.

```
&SYSTEM
  ibrav = 0, nat = 5, ntyp = 3
/
ATOMIC_SPECIES
Ti 47.87 Ti.upf
Ag 107.87 Ag.upf
Cs 132.91 Cs.upf
CELL_PARAMETERS angstrom
3.820 0.000 0.000
0.000 3.820 0.000
1.910 1.910 9.343
ATOMIC_POSITIONS crystal
Ti 0.750 0.250 0.500
Ti 0.250 0.750 0.500
Ag 0.639 0.639 0.721
Ag 0.361 0.361 0.279
Cs 0.000 0.000 0.000
```

**DOS(E_F)**: 4.7 states/eV per cell
**SG**: I4/mmm

Here is how they stack up, most stable first: #2, #1.

#1
Compound: CsTl2Ag
Source: the Alexandria database
Functional: PBE
Structure: optimized geometry Values from VASP.

```
&SYSTEM
  ibrav = 0, nat = 4, ntyp = 3
/
ATOMIC_SPECIES
Tl 204.38 Tl.upf
Cs 132.91 Cs.upf
Ag 107.87 Ag.upf
CELL_PARAMETERS angstrom
-0.997 -0.040 3.704
5.702 -1.376 3.498
3.808 4.776 3.054
ATOMIC_POSITIONS crystal
Tl 0.549 0.452 0.452
Tl 0.951 0.048 0.048
Cs 0.750 0.750 0.750
Ag 0.250 0.250 0.250
```

**DOS(E_F)**: 2.7 states/eV per cell
**SG**: C2/m

#2
Compound: CsTl2Ag
Source: the Alexandria database
Functional: PBE
Structure: optimized geometry Values from VASP.

```
&SYSTEM
  ibrav = 0, nat = 4, ntyp = 3
/
ATOMIC_SPECIES
Tl 204.38 Tl.upf
Cs 132.91 Cs.upf
Ag 107.87 Ag.upf
CELL_PARAMETERS angstrom
5.160 0.000 0.000
2.580 4.469 0.000
2.580 1.490 6.855
ATOMIC_POSITIONS crystal
Tl 0.020 0.020 0.940
Tl 0.297 0.297 0.108
Cs 0.496 0.496 0.511
Ag 0.686 0.686 0.941
```

**DOS(E_F)**: 2.0 states/eV per cell
**SG**: R3m

#3
Compound: CsTl2Ag
Source: the Alexandria database
Functional: PBE
Structure: optimized geometry Values from VASP.

```
&SYSTEM
  ibrav = 0, nat = 8, ntyp = 3
/
ATOMIC_SPECIES
Tl 204.38 Tl.upf
Ag 107.87 Ag.upf
Cs 132.91 Cs.upf
CELL_PARAMETERS angstrom
5.902 0.000 0.000
0.000 5.902 0.000
2.951 2.951 10.208
ATOMIC_POSITIONS crystal
Tl 0.875 0.697 0.750
Tl 0.303 0.625 0.250
Tl 0.375 0.553 0.750
Tl 0.447 0.125 0.250
Ag 0.500 0.500 0.000
Ag 0.250 0.750 0.500
Cs 0.750 0.250 0.500
Cs 0.000 0.000 0.000
```

**DOS(E_F)**: 3.3 states/eV per cell
**SG**: I-42d

#4
Compound: CsTl2Ag
Source: the Alexandria database
Functional: PBE
Structure: optimized geometry Values from VASP.

```
&SYSTEM
  ibrav = 0, nat = 4, ntyp = 3
/
ATOMIC_SPECIES
Tl 204.38 Tl.upf
Ag 107.87 Ag.upf
Cs 132.91 Cs.upf
CELL_PARAMETERS angstrom
0.000 4.081 4.081
4.081 0.000 4.081
4.081 4.081 0.000
ATOMIC_POSITIONS crystal
Tl 0.250 0.250 0.250
Tl 0.750 0.750 0.750
Ag 0.000 0.000 0.000
Cs 0.500 0.500 0.500
```

**DOS(E_F)**: 3.6 states/eV per cell
**SG**: Fm-3m

Here is how they stack up, most stable first: #2, #1, #3, #4.